# 1
# ScCo2Re | Alexandria | PBE | optimized geometry
data_ScCo2Re
_symmetry_space_group_name_H-M 'I -4 2 d'
_symmetry_Int_Tables_number 122
_symmetry_space_group_name_Hall 'I -4 2bw'
_cell_length_a 3.951
_cell_length_b 3.951
_cell_length_c 16.105
_cell_angle_alpha 90.00
_cell_angle_beta 90.00
_cell_angle_gamma 90.00
loop_
_atom_site_label
_atom_site_type_symbol
_atom_site_fract_x
_atom_site_fract_y
_atom_site_fract_z
Sc1 Sc 0.000 0.000 0.000
Co1 Co 0.209 0.250 0.625
Re1 Re 0.000 0.000 0.500
# M_tot (Bohr magnetons per cell): 0.0
# Formation enthalpy at 0 K (eV/atom): 0.60
# Uncorrected energy (eV/cell): -122.377

---

# 2
# Ac2Ga7Rh | Alexandria | PBE | optimized geometry
data_Ac2Ga7Rh
_symmetry_space_group_name_H-M 'P -4 m 2'
_symmetry_Int_Tables_number 115
_cell_length_a 4.468
_cell_length_b 4.468
_cell_length_c 10.662
_cell_angle_alpha 90.00
_cell_angle_beta 90.00
_cell_angle_gamma 90.00
loop_
_symmetry_equiv_pos_as_xyz
'x,y,z'
'y,-x,-z'
'-x,-y,z'
'-y,x,-z'
'-x,y,z'
'-y,-x,-z'
'x,-y,z'
'y,x,-z'
loop_
_atom_site_label
_atom_site_type_symbol
_atom_site_fract_x
_atom_site_fract_y
_atom_site_fract_z
Ac1 Ac 0.000 0.500 0.244
Ga1 Ga 0.000 0.000 0.000
Ga2 Ga 0.000 0.000 0.500
Ga3 Ga 0.000 0.500 0.634
Ga4 Ga 0.000 0.500 0.879
Ga5 Ga 0.500 0.500 0.500
Rh1 Rh 0.500 0.500 0.000
# M_tot (Bohr magnetons per cell): 0.0
# Formation enthalpy at 0 K (eV/atom): -0.56
# Uncorrected energy (eV/cell): -42.388

---

Which formula does entry 1 have?
ScCo2Re

---

What did the second record say?
# Ac2Ga7Rh | Alexandria | PBE | optimized geometry
data_Ac2Ga7Rh
_symmetry_space_group_name_H-M 'P -4 m 2'
_symmetry_Int_Tables_number 115
_cell_length_a 4.468
_cell_length_b 4.468
_cell_length_c 10.662
_cell_angle_alpha 90.00
_cell_angle_beta 90.00
_cell_angle_gamma 90.00
loop_
_symmetry_equiv_pos_as_xyz
'x,y,z'
'y,-x,-z'
'-x,-y,z'
'-y,x,-z'
'-x,y,z'
'-y,-x,-z'
'x,-y,z'
'y,x,-z'
loop_
_atom_site_label
_atom_site_type_symbol
_atom_site_fract_x
_atom_site_fract_y
_atom_site_fract_z
Ac1 Ac 0.000 0.500 0.244
Ga1 Ga 0.000 0.000 0.000
Ga2 Ga 0.000 0.000 0.500
Ga3 Ga 0.000 0.500 0.634
Ga4 Ga 0.000 0.500 0.879
Ga5 Ga 0.500 0.500 0.500
Rh1 Rh 0.500 0.500 0.000
# M_tot (Bohr magnetons per cell): 0.0
# Formation enthalpy at 0 K (eV/atom): -0.56
# Uncorrected energy (eV/cell): -42.388